No. 1
A plane-wave DFT calculation with PBE was carried out for crystalline AlOs2Cl at its relaxed geometry.

Summary:
Total moment (μB/cell): 0.00
E_form (uncorrected) (eV/atom): 0.11
Excess energy over the best structure of this formula in the dataset (meV/atom): 52

Structure (CIF):
```
data_AlOs2Cl
_chemical_formula_sum 'Al3 Os6 Cl3'
_space_group_name_H-M_alt 'R 3 m'
_space_group_IT_number 160
_space_group_name_Hall 'R 3 -2"'
_cell_length_a 2.8894
_cell_length_b 2.8894
_cell_length_c 29.6752
_cell_angle_alpha 90.00
_cell_angle_beta 90.00
_cell_angle_gamma 120.00
loop_
_atom_site_label
_atom_site_type_symbol
_atom_site_fract_x
_atom_site_fract_y
_atom_site_fract_z
_atom_site_occupancy
Al1 Al 0.0000 0.0000 0.0000 1
Os1 Os 0.0000 0.0000 0.2665 1
Os2 Os 0.0000 0.0000 0.5321 1
Cl1 Cl 0.0000 0.0000 0.7239 1
```

No. 2
A plane-wave DFT calculation with PBE was carried out for crystalline AlOs2Cl at its relaxed geometry.

Summary:
Total moment (μB/cell): 0.00
E_form (uncorrected) (eV/atom): 0.58
Excess energy over the best structure of this formula in the dataset (meV/atom): 519

Structure (CIF):
```
data_AlOs2Cl
_chemical_formula_sum 'Al2 Os4 Cl2'
_space_group_name_H-M_alt 'C m m m'
_space_group_IT_number 65
_space_group_name_Hall '-C 2 2'
_cell_length_a 2.8182
_cell_length_b 4.9927
_cell_length_c 8.5891
_cell_angle_alpha 90.00
_cell_angle_beta 90.00
_cell_angle_gamma 90.00
loop_
_atom_site_label
_atom_site_type_symbol
_atom_site_fract_x
_atom_site_fract_y
_atom_site_fract_z
_atom_site_occupancy
Al1 Al 0.0000 0.0000 0.0000 1
Os1 Os 0.0000 0.5000 0.2432 1
Cl1 Cl 0.0000 0.0000 0.5000 1
```

total moment of number 1 (AlOs2Cl)? 0.00 μB/cell

What is the excess energy over the best structure of this formula in the dataset in the second record? 519 meV/atom

Which formula does entry 1 have? AlOs2Cl

The lowest E_form (uncorrected) belongs to which entry? number 1